# 1
LaPm4Pt: relaxed, PBE.

Total moment (Bohr magnetons per cell): 0.000
Space-group type: Cmc2_1
Energy relative to the elements (eV/atom): -0.237
DOS(E_F) (states/eV per cell): 16.72

Cell: 9.809 9.809 7.855 Å, 90.00 90.00 145.49°
Element x y z (fractional)
La 0.114 0.886 0.500
La 0.886 0.114 0.000
Pm 0.115 0.885 0.000
Pm 0.293 0.707 0.241
Pm 0.293 0.707 0.759
Pm 0.500 0.500 0.249
Pm 0.500 0.500 0.749
Pm 0.707 0.293 0.259
Pm 0.707 0.293 0.741
Pm 0.885 0.115 0.500
Pt 0.395 0.605 0.499
Pt 0.605 0.395 0.999

***

# 2
Rb2NaLiS2: relaxed, PBE.

Total moment (Bohr magnetons per cell): 0.000
Space-group type: Ibam
DOS(E_F) (states/eV per cell): 0.00
Formation energy (no corrections) (kJ per mole of atoms): -107.0

Cell: 8.750 8.750 8.750 Å, 135.92 63.68 136.47°
Element x y z (fractional)
Rb 0.172 0.246 0.418
Rb 0.328 0.746 0.074
Rb 0.672 0.254 0.926
Rb 0.828 0.754 0.582
Na 0.250 0.750 0.500
Na 0.750 0.250 0.500
Li 0.250 0.250 0.000
Li 0.750 0.750 0.000
S 0.095 0.772 0.867
S 0.405 0.272 0.677
S 0.595 0.728 0.323
S 0.905 0.228 0.133

***

# 3
AcTlHgPt: relaxed, PBE.

Total moment (Bohr magnetons per cell): 0.000
Space-group type: P4/nmm
Energy relative to the elements (eV/atom): -0.505
DOS(E_F) (states/eV per cell): 2.95

Cell: 4.354 4.354 13.542 Å, 90.00 90.00 90.00°
Element x y z (fractional)
Ac 0.250 0.250 0.111
Ac 0.750 0.750 0.889
Tl 0.250 0.250 0.678
Tl 0.750 0.750 0.322
Hg 0.250 0.750 0.500
Hg 0.750 0.250 0.500
Pt 0.250 0.250 0.885
Pt 0.750 0.750 0.115

***

Question: Which formula does entry 2 have?
Answer: Rb2NaLiS2

***

Question: total moment of number 2 (Rb2NaLiS2)?
Answer: 0.000 Bohr magnetons per cell

***

Repeat the third record exactly.
AcTlHgPt: relaxed, PBE.

Total moment (Bohr magnetons per cell): 0.000
Space-group type: P4/nmm
Energy relative to the elements (eV/atom): -0.505
DOS(E_F) (states/eV per cell): 2.95

Cell: 4.354 4.354 13.542 Å, 90.00 90.00 90.00°
Element x y z (fractional)
Ac 0.250 0.250 0.111
Ac 0.750 0.750 0.889
Tl 0.250 0.250 0.678
Tl 0.750 0.750 0.322
Hg 0.250 0.750 0.500
Hg 0.750 0.250 0.500
Pt 0.250 0.250 0.885
Pt 0.750 0.750 0.115

***

Question: Among the records above, which one has the highest DOS(E_F)?
Answer: LaPm4Pt